Na2LiH6Pd | PBE-GGA | relaxed

```
20
Lattice="-0.6253 -4.5415 -2.0769 6.7773 -0.3538 -1.2668 1.1083 -0.9339 6.1904" Properties=species:S:1:pos:R:3 pbc="T T T"
Na 5.6889 -4.7281 1.6264
Pd 3.4879 -3.5626 0.0977
H 1.2920 -3.6343 3.6882
H 2.2915 -1.4042 4.8413
H 0.6005 -2.5130 1.6759
H 6.5186 -2.3666 3.5244
H 4.6884 -4.8844 -2.4519
Na 2.2601 -1.1371 1.0916
Pd 0.6524 -2.1038 3.3323
H 4.1069 -2.0977 -0.4935
Na 6.3499 -3.1425 -1.5201
Li 5.1485 -1.6318 1.1668
H 2.1082 -3.5340 -0.9330
H -0.0896 -4.9744 0.8778
H 3.9729 -0.6785 2.6002
H 4.0777 -3.1814 1.6535
H 4.3941 -4.3950 -1.8872
H 2.8172 -0.9576 5.2528
Li 1.6130 -4.1714 1.7732
Na 3.8471 -2.8401 3.8179
```

The volume is 10.6 A^3/atom. Its energy is -62.70 eV per cell.

***

Na2LiZrH6 | PBE-GGA | relaxed

```
10
Lattice="0.2388 -3.7971 3.9644 -3.8279 -3.9326 0.2717 1.3017 -5.1915 -1.2430" Properties=species:S:1:pos:R:3 pbc="T T T"
H -2.3413 -7.0821 2.8382
H 0.1708 -7.6987 2.0964
H -0.4667 -5.1562 2.7052
Zr 0.0000 0.0000 0.0000
Na -1.7156 -9.6909 2.2448
H 0.0539 -5.8391 0.1549
H -1.8208 -7.7650 0.2879
H -2.4583 -5.2225 0.8967
Li -1.1437 -6.4606 1.4966
Na -0.5719 -3.2303 0.7483
```

The volume is 11.7 A^3/atom. Its energy is -34.18 eV per cell.

***

Li3NbH6 | PBE-GGA | relaxed

```
10
Lattice="-4.9190 -1.4388 -0.4243 -2.8680 -0.6303 4.2219 -3.7584 3.3407 1.0777" Properties=species:S:1:pos:R:3 pbc="T T T"
H -6.1885 1.6463 3.8317
Li -2.8864 0.3179 1.2188
Li -8.6591 0.9537 3.6564
Li -5.7727 0.6358 2.4376
H -4.7915 1.9534 1.7752
H -6.7539 -0.6818 3.1001
H -5.3569 -0.3748 1.0436
H -4.3578 0.0191 3.3067
Nb 0.0000 0.0000 0.0000
H -7.1876 1.2525 1.5685
```

The volume is 9.6 A^3/atom. Its energy is -35.90 eV per cell.

***

Li2NbNiH6 | PBE-GGA | relaxed

```
10
Lattice="0.8975 0.0837 4.8887 2.1587 3.9744 2.0631 -2.6335 3.0030 2.9595" Properties=species:S:1:pos:R:3 pbc="T T T"
Li 0.1057 1.7653 2.4778
H 1.1013 3.7334 3.6337
H -1.0888 3.2894 4.0434
Ni 0.2114 3.5305 4.9556
H -0.1022 5.1058 4.9862
Nb 0.0000 0.0000 0.0000
H -0.6786 3.3277 6.2776
H 1.5115 3.7716 5.8679
Li 0.3171 5.2958 7.4334
H 0.5250 1.9553 4.9250
```

The volume is 8.7 A^3/atom. Its energy is -39.11 eV per cell.

***

LiNi2H3 | PBE-GGA | relaxed

```
6
Lattice="-1.7951 0.7983 -1.7873 -0.7192 -1.6353 1.9654 -1.4336 5.0972 3.7165" Properties=species:S:1:pos:R:3 pbc="T T T"
Ni -1.3206 0.0387 1.3436
H 0.0000 0.0000 0.0000
Li -0.7168 2.5486 1.8583
H -2.0941 2.7890 3.3489
Ni -2.6274 4.2214 2.5510
H -1.8539 1.4712 0.5457
```

The volume is 6.6 A^3/atom. Its energy is -24.20 eV per cell.

***

Li2Ni3H | PBE-GGA | relaxed

```
6
Lattice="2.6702 0.0000 0.0000 -1.3351 2.3125 0.0000 0.0000 0.0000 8.5649" Properties=species:S:1:pos:R:3 pbc="T T T"
Ni 0.0000 1.5417 5.2239
Li 0.0000 1.5417 1.6368
Ni 1.3351 0.7708 3.3410
Li 1.3351 0.7708 6.9281
Ni 0.0000 0.0000 0.0000
H 0.0000 0.0000 4.2824
```

The volume is 8.8 A^3/atom. Its energy is -22.82 eV per cell.

***

Li2NiH3 | PBE-GGA | relaxed

```
6
Lattice="2.6883 0.0000 0.0000 -1.3441 2.3281 0.0000 0.0000 0.0000 6.6404" Properties=species:S:1:pos:R:3 pbc="T T T"
Li 1.3441 0.7760 2.1721
H 0.0000 1.5521 0.8524
H 0.0000 0.0000 3.3202
Li 0.0000 1.5521 4.4682
H 1.3441 0.7760 5.7880
Ni 0.0000 0.0000 0.0000
```

The volume is 6.9 A^3/atom. Its energy is -21.08 eV per cell.

***

LiNi3H2 | PBE-GGA | relaxed

```
6
Lattice="-2.2632 -0.3685 -1.1795 2.1869 -0.7465 -1.1444 -0.6634 -7.4756 3.6087" Properties=species:S:1:pos:R:3 pbc="T T T"
Ni 0.0000 0.0000 0.0000
H 0.6097 -1.6770 -0.6461
H -1.3496 -6.9136 1.9309
Ni -0.9485 -2.3946 -0.2506
Li -0.3317 -3.7378 1.8043
Ni 0.2087 -6.1960 1.5354
```

The volume is 8.0 A^3/atom. Its energy is -25.61 eV per cell.